# 1
An optimized crystal structure of AcPdN, computed with PBE.

The formation energy without anion corrections comes out at -0.51 eV/atom. The density of states at the Fermi level is 12.490 states/eV per cell. As for the total moment: 0.000 μB/f.u.

The structure belongs to space group I4/mmm (No. 139); the cell edges are 3.829, 3.829 and 18.069 Å and the angles 90.00°, 90.00° and 90.00°. The distinct sites, in fractional coordinates, are Ac at (0.000, 0.000, 0.170), Pd at (0.000, 0.000, 0.428) and N at (0.000, 0.000, 0.309).

---

# 2
An optimized crystal structure of Ac4PdN, computed with PBE.

The formation energy without anion corrections comes out at -0.54 eV/atom. The density of states at the Fermi level is 22.612 states/eV per cell. As for the total moment: 0.000 μB/f.u.

The structure belongs to space group C2/c (No. 15); the cell edges are 9.093, 16.233 and 6.889 Å and the angles 90.00°, 128.25° and 90.00°. The distinct sites, in fractional coordinates, are Ac at (0.159, 0.194, 0.154), Ac at (0.245, 0.053, 0.694), Pd at (0.000, 0.396, 0.750) and N at (0.000, 0.095, 0.250).

---

Repeat the first record exactly.
An optimized crystal structure of AcPdN, computed with PBE.

The formation energy without anion corrections comes out at -0.51 eV/atom. The density of states at the Fermi level is 12.490 states/eV per cell. As for the total moment: 0.000 μB/f.u.

The structure belongs to space group I4/mmm (No. 139); the cell edges are 3.829, 3.829 and 18.069 Å and the angles 90.00°, 90.00° and 90.00°. The distinct sites, in fractional coordinates, are Ac at (0.000, 0.000, 0.170), Pd at (0.000, 0.000, 0.428) and N at (0.000, 0.000, 0.309).